## Ca2CdCuO4 (GGA-PBE)

Data for an optimized crystal structure of Ca2CdCuO4.

abc: 3.191 6.264 6.126
angles: 118.49 90.00 90.00
Site moments in Bohr magnetons follow the coordinates.
Element x y z (fractional)
O: 0.500 0.200 0.224  0.20
O: 0.000 0.714 0.282  0.00
O: 0.500 0.800 0.776  0.20
O: 0.000 0.286 0.718  0.00
Ca: 0.500 0.000 0.500  0.00
Ca: 0.000 0.500 0.500  0.01
Cu: 0.000 0.000 0.000  0.54
Cd: 0.500 0.500 0.000  0.00

Results
Density of states at the Fermi level   0.0263 states/eV/atom
Formation energy (no corrections)   -1.80 eV/atom
Symmetry   P2/m
Size of the total moment   1.00 μB/f.u.

## Pr5Tl2Cd2 (GGA-PBE)

Data for an optimized crystal structure of Pr5Tl2Cd2.

abc: 8.106 8.381 9.514
angles: 116.13 90.00 90.00
Element x y z (fractional)
Tl: 0.500 0.712 0.425
Tl: 0.000 0.788 0.575
Tl: 0.500 0.288 0.575
Tl: 0.000 0.212 0.425
Cd: 0.378 0.123 0.000
Cd: 0.622 0.877 0.000
Cd: 0.878 0.377 0.000
Cd: 0.122 0.623 0.000
Pr: 0.328 0.674 0.717
Pr: 0.328 0.957 0.283
Pr: 0.172 0.174 0.717
Pr: 0.172 0.457 0.283
Pr: 0.828 0.826 0.283
Pr: 0.828 0.543 0.717
Pr: 0.500 0.500 0.000
Pr: 0.000 0.000 0.000
Pr: 0.672 0.326 0.283
Pr: 0.672 0.043 0.717

Results
Density of states at the Fermi level   1.1964 states/eV/atom
Symmetry   Cmce
Size of the total moment   0.00 μB/f.u.

## TaTi6O3 (GGA-PBE)

Data for an optimized crystal structure of TaTi6O3.

abc: 5.563 5.563 5.884
angles: 90.00 118.21 120.00
Element x y z (fractional)
Ti: 0.814 0.368 0.731
Ti: 0.285 0.917 0.731
Ti: 0.819 0.063 0.214
Ti: 0.363 0.446 0.731
Ti: 0.457 0.395 0.214
Ti: 0.151 0.756 0.214
O: 0.298 0.149 0.447
O: 0.681 0.340 0.021
O: 0.330 0.665 0.996
Ta: 0.802 0.901 0.702

Results
Density of states at the Fermi level   0.9011 states/eV/atom
Formation energy (no corrections)   -1.33 eV/atom
Symmetry   R3
Size of the total moment   0.00 μB/f.u.

## EuZnTe2 (GGA-PBE)

Data for an optimized crystal structure of EuZnTe2.

abc: 5.048 5.048 8.580
angles: 72.89 72.89 60.00
Site moments in Bohr magnetons follow the coordinates.
Element x y z (fractional)
Te: 0.102 0.102 0.694  -0.02
Te: 0.898 0.898 0.306  -0.02
Eu: 0.500 0.500 0.500  6.87
Zn: 0.000 0.000 0.000  0.01

Results
Density of states at the Fermi level   2.2401 states/eV/atom
Formation energy (no corrections)   -0.82 eV/atom
Symmetry   R-3m
Size of the total moment   7.00 μB/f.u.

## Pd3Pt2Au (GGA-PBE)

Data for an optimized crystal structure of Pd3Pt2Au.

abc: 2.817 2.817 11.980
angles: 90.00 90.00 90.00
Element x y z (fractional)
Au: 0.500 0.500 0.500
Pd: 0.000 0.000 0.674
Pd: 0.000 0.000 0.326
Pd: 0.000 0.000 0.000
Pt: 0.500 0.500 0.838
Pt: 0.500 0.500 0.162

Results
Density of states at the Fermi level   1.7888 states/eV/atom
Symmetry   P4/mmm
Size of the total moment   0.00 μB/f.u.

## NbC2N (GGA-PBE)

Data for an optimized crystal structure of NbC2N.

abc: 4.848 4.848 4.600
angles: 58.20 58.20 90.00
Element x y z (fractional)
C: 0.235 0.625 0.250
C: 0.375 0.485 0.750
C: 0.875 0.765 0.750
C: 0.515 0.125 0.250
N: 0.250 0.750 0.500
N: 0.500 0.500 0.000
Nb: 0.000 0.000 0.000
Nb: 0.750 0.250 0.500

Results
Density of states at the Fermi level   0.3142 states/eV/atom
Formation energy (no corrections)   1.16 eV/atom
Symmetry   I-42d
Size of the total moment   0.00 μB/f.u.

## Rb5Tl2Au5 (GGA-PBE)

Data for an optimized crystal structure of Rb5Tl2Au5.

abc: 4.630 9.423 10.800
angles: 83.02 77.62 75.78
Element x y z (fractional)
Au: 0.308 0.745 0.639
Au: 0.941 0.270 0.849
Au: 0.000 0.000 0.000
Au: 0.692 0.255 0.361
Au: 0.059 0.730 0.151
Rb: 0.628 0.073 0.671
Rb: 0.000 0.500 0.500
Rb: 0.676 0.751 0.897
Rb: 0.372 0.927 0.329
Rb: 0.324 0.249 0.103
Tl: 0.631 0.537 0.201
Tl: 0.369 0.463 0.799

Results
Density of states at the Fermi level   0.4190 states/eV/atom
Symmetry   C2/m
Size of the total moment   0.00 μB/f.u.

## PuTlAgI5 (GGA-PBE)

Data for an optimized crystal structure of PuTlAgI5.

abc: 8.471 8.471 11.456
angles: 103.55 103.55 107.12
Site moments in Bohr magnetons follow the coordinates.
Element x y z (fractional)
I: 0.066 0.667 0.883  -0.04
I: 0.909 0.091 0.750  -0.06
I: 0.250 0.379 0.551  -0.04
I: 0.934 0.333 0.117  -0.04
I: 0.333 0.934 0.617  -0.04
I: 0.379 0.250 0.051  -0.04
I: 0.091 0.909 0.250  -0.06
I: 0.750 0.621 0.449  -0.04
I: 0.667 0.066 0.383  -0.04
I: 0.621 0.750 0.949  -0.04
Ag: 0.691 0.309 0.250  -0.01
Ag: 0.309 0.691 0.750  -0.01
Pu: 0.000 0.000 0.500  5.17
Pu: 0.000 0.000 0.000  5.17
Tl: 0.370 0.630 0.250  0.00
Tl: 0.630 0.370 0.750  0.00

Results
Density of states at the Fermi level   1.5762 states/eV/atom
Formation energy (no corrections)   -0.74 eV/atom
Symmetry   C2/c
Size of the total moment   5.00 μB/f.u.

## CaPmAl2Zn2 (GGA-PBE)

Data for an optimized crystal structure of CaPmAl2Zn2.

abc: 4.587 4.587 7.340
angles: 90.00 90.00 120.00
Element x y z (fractional)
Al: 0.667 0.333 0.270
Al: 0.333 0.667 0.730
Ca: 0.000 0.000 0.000
Zn: 0.333 0.667 0.268
Zn: 0.667 0.333 0.732
Pm: 0.000 0.000 0.500

Results
Density of states at the Fermi level   0.5167 states/eV/atom
Symmetry   P-3m1
Size of the total moment   0.00 μB/f.u.

## CdGa2SnW (GGA-PBE)

Data for an optimized crystal structure of CdGa2SnW.

abc: 5.004 5.296 5.004
angles: 90.00 90.00 90.00
Site moments in Bohr magnetons follow the coordinates.
Element x y z (fractional)
W: 0.000 0.000 0.000  0.40
Ga: 0.000 0.000 0.500  0.02
Ga: 0.500 0.000 0.000  0.01
Sn: 0.000 0.500 0.000  0.00
Cd: 0.500 0.500 0.500  0.07

Results
Density of states at the Fermi level   0.9580 states/eV/atom
Symmetry   P4/mmm
Size of the total moment   0.69 μB/f.u.

## RbPaGa2Cl8 (GGA-PBE)

Data for an optimized crystal structure of RbPaGa2Cl8.

abc: 6.993 7.199 9.382
angles: 89.94 90.04 91.16
Element x y z (fractional)
Rb: 0.000 0.000 0.500
Cl: 0.630 0.712 0.500
Cl: 0.141 0.791 0.804
Cl: 0.370 0.288 0.500
Cl: 0.860 0.209 0.804
Cl: 0.859 0.209 0.196
Cl: 0.302 0.200 0.000
Cl: 0.698 0.800 0.000
Cl: 0.140 0.791 0.196
Ga: 0.500 0.500 0.292
Ga: 0.500 0.500 0.708
Pa: 0.000 0.000 0.000

Results
Formation energy (no corrections)   -1.51 eV/atom
Symmetry   P-1
Size of the total moment   0.00 μB/f.u.

## Mg5CuAg6 (GGA-PBE)

Data for an optimized crystal structure of Mg5CuAg6.

abc: 4.698 8.105 8.105
angles: 120.88 106.76 106.76
Element x y z (fractional)
Ag: 0.242 0.402 0.082
Ag: 0.758 0.598 0.918
Ag: 0.242 0.082 0.402
Ag: 0.262 0.763 0.763
Ag: 0.758 0.918 0.598
Ag: 0.738 0.237 0.237
Mg: 0.000 0.333 0.667
Mg: 0.500 0.500 0.500
Mg: 0.000 0.667 0.333
Mg: 0.500 0.830 0.170
Mg: 0.500 0.170 0.830
Cu: 0.000 0.000 0.000

Results
Density of states at the Fermi level   0.2456 states/eV/atom
Symmetry   C2/m
Size of the total moment   0.00 μB/f.u.

## TaCdPb3 (GGA-PBE)

Data for an optimized crystal structure of TaCdPb3.

abc: 5.528 5.528 5.528
angles: 90.00 90.00 90.00
Site moments in Bohr magnetons follow the coordinates.
Element x y z (fractional)
Ta: 0.500 0.500 0.500  2.00
Pb: 0.000 0.500 0.000  -0.01
Pb: 0.500 0.000 0.000  0.02
Pb: 0.000 0.000 0.500  -0.01
Cd: 0.000 0.000 0.000  0.00

Results
Density of states at the Fermi level   1.6226 states/eV/atom
Symmetry   Pm-3m
Size of the total moment   3.12 μB/f.u.

## Ce2Pd3Rh3 (GGA-PBE)

Data for an optimized crystal structure of Ce2Pd3Rh3.

abc: 4.103 4.203 8.049
angles: 90.00 90.00 90.00
Element x y z (fractional)
Rh: 0.500 0.000 0.500
Rh: 0.500 0.000 0.000
Rh: 0.000 0.500 0.000
Ce: 0.000 0.000 0.245
Ce: 0.000 0.000 0.755
Pd: 0.000 0.500 0.500
Pd: 0.500 0.500 0.750
Pd: 0.500 0.500 0.250

Results
Density of states at the Fermi level   1.6994 states/eV/atom
Symmetry   Pmmm
Size of the total moment   0.00 μB/f.u.

## FeTeW (GGA-PBE)

Data for an optimized crystal structure of FeTeW.

abc: 4.359 4.359 4.359
angles: 60.00 60.00 60.00
Site moments in Bohr magnetons follow the coordinates.
Element x y z (fractional)
Fe: 0.000 0.000 0.000  2.20
W: 0.250 0.250 0.250  -0.46
Te: 0.500 0.500 0.500  0.05

Results
Density of states at the Fermi level   1.0928 states/eV/atom
Formation energy (no corrections)   0.73 eV/atom
Symmetry   F-43m
Size of the total moment   1.71 μB/f.u.

## Tb7Tl2Ag2 (GGA-PBE)

Data for an optimized crystal structure of Tb7Tl2Ag2.

abc: 6.955 7.369 6.955
angles: 90.00 108.34 90.00
Element x y z (fractional)
Tb: 0.500 0.731 0.000
Tb: 0.000 0.000 0.000
Tb: 0.000 0.269 0.500
Tb: 0.500 0.250 0.500
Tb: 0.500 0.750 0.500
Tb: 0.000 0.731 0.500
Tb: 0.500 0.269 0.000
Tl: 0.180 0.500 0.180
Tl: 0.820 0.500 0.820
Ag: 0.709 0.000 0.291
Ag: 0.291 0.000 0.709

Results
Density of states at the Fermi level   1.1856 states/eV/atom
Symmetry   Cmmm
Size of the total moment   0.00 μB/f.u.

## Na2AlSn2 (GGA-PBE)

Data for an optimized crystal structure of Na2AlSn2.

abc: 8.572 8.572 3.554
angles: 90.00 90.00 90.00
Element x y z (fractional)
Sn: 0.122 0.378 0.000
Sn: 0.878 0.622 0.000
Sn: 0.622 0.122 0.000
Sn: 0.378 0.878 0.000
Al: 0.000 0.000 0.000
Al: 0.500 0.500 0.000
Na: 0.179 0.679 0.500
Na: 0.321 0.179 0.500
Na: 0.821 0.321 0.500
Na: 0.679 0.821 0.500

Results
Density of states at the Fermi level   0.4116 states/eV/atom
Symmetry   P4/mbm
Size of the total moment   0.00 μB/f.u.

## Li3Ta (GGA-PBE)

Data for an optimized crystal structure of Li3Ta.

abc: 4.463 4.463 4.463
angles: 60.00 60.00 60.00
Element x y z (fractional)
Li: 0.750 0.750 0.750
Li: 0.000 0.000 0.000
Li: 0.500 0.500 0.500
Ta: 0.250 0.250 0.250

Results
Density of states at the Fermi level   0.7061 states/eV/atom
Symmetry   Fm-3m
Size of the total moment   0.00 μB/f.u.

## K2CaSc (GGA-PBE)

Data for an optimized crystal structure of K2CaSc.

abc: 7.624 7.624 7.624
angles: 140.31 140.31 57.39
Site moments in Bohr magnetons follow the coordinates.
Element x y z (fractional)
K: 0.000 0.000 0.000  0.01
K: 0.500 0.500 0.000  0.01
Ca: 0.750 0.250 0.500  0.01
Sc: 0.250 0.750 0.500  0.31

Results
Density of states at the Fermi level   1.5603 states/eV/atom
Symmetry   I4/mmm
Size of the total moment   0.69 μB/f.u.

## Tb3DyY (GGA-PBE)

Data for an optimized crystal structure of Tb3DyY.

abc: 6.557 10.096 10.096
angles: 81.39 79.79 79.79
Element x y z (fractional)
Tb: 0.149 0.985 0.615
Tb: 0.149 0.724 0.877
Tb: 0.851 0.015 0.385
Tb: 0.351 0.385 0.015
Tb: 0.449 0.214 0.586
Tb: 0.551 0.786 0.414
Tb: 0.649 0.615 0.985
Tb: 0.051 0.414 0.786
Tb: 0.949 0.586 0.214
Tb: 0.351 0.123 0.276
Tb: 0.851 0.276 0.123
Tb: 0.649 0.877 0.724
Dy: 0.750 0.924 0.076
Dy: 0.250 0.076 0.924
Dy: 0.250 0.815 0.185
Dy: 0.750 0.185 0.815
Y: 0.951 0.324 0.475
Y: 0.451 0.475 0.324
Y: 0.549 0.525 0.676
Y: 0.049 0.676 0.525

Results
Density of states at the Fermi level   1.7435 states/eV/atom
Symmetry   C2/c
Size of the total moment   0.00 μB/f.u.

## NaMgGa2C (GGA-PBE)

Data for an optimized crystal structure of NaMgGa2C.

abc: 4.393 4.753 4.393
angles: 90.00 90.00 90.00
Element x y z (fractional)
Ga: 0.500 0.000 0.000
Ga: 0.000 0.000 0.500
C: 0.000 0.000 0.000
Na: 0.000 0.500 0.000
Mg: 0.500 0.500 0.500

Results
Density of states at the Fermi level   0.3146 states/eV/atom
Symmetry   P4/mmm
Size of the total moment   0.00 μB/f.u.

## Zr2ScIn (GGA-PBE)

Data for an optimized crystal structure of Zr2ScIn.

abc: 5.599 5.599 5.599
angles: 133.67 133.67 67.61
Element x y z (fractional)
In: 0.500 0.500 0.000
Zr: 0.250 0.750 0.500
Zr: 0.000 0.000 0.000
Sc: 0.750 0.250 0.500

Results
Density of states at the Fermi level   0.7524 states/eV/atom
Symmetry   I-4m2
Size of the total moment   0.00 μB/f.u.

## TbPrHo2Te6 (GGA-PBE)

Data for an optimized crystal structure of TbPrHo2Te6.

abc: 7.778 7.778 8.355
angles: 62.26 62.26 60.00
Element x y z (fractional)
Pr: 0.818 0.818 0.545
Te: 0.120 0.397 0.750
Te: 0.733 0.120 0.750
Te: 0.607 0.237 0.246
Te: 0.910 0.607 0.246
Te: 0.237 0.910 0.246
Te: 0.397 0.733 0.750
Tb: 0.322 0.322 0.035
Ho: 0.510 0.510 0.471
Ho: 0.007 0.007 0.978

Results
Formation energy (no corrections)   -1.36 eV/atom
Symmetry   R3
Size of the total moment   0.00 μB/f.u.

## Sr2TcTeAu (GGA-PBE)

Data for an optimized crystal structure of Sr2TcTeAu.

abc: 5.898 4.944 5.898
angles: 90.00 90.00 90.00
Site moments in Bohr magnetons follow the coordinates.
Element x y z (fractional)
Sr: 0.000 0.000 0.500  -0.01
Sr: 0.500 0.000 0.000  0.01
Au: 0.500 0.500 0.500  0.00
Te: 0.000 0.500 0.000  -0.01
Tc: 0.000 0.000 0.000  0.40

Results
Density of states at the Fermi level   0.5630 states/eV/atom
Formation energy (no corrections)   -0.05 eV/atom
Symmetry   P4/mmm
Size of the total moment   0.40 μB/f.u.

Number 1: DFT total energy -5.41 eV per atom. Number 2: DFT total energy -3.63 eV per atom. Number 3: DFT total energy -8.74 eV per atom. Number 4: DFT total energy -5.28 eV per atom. Number 5: DFT total energy -5.20 eV per atom. Number 6: DFT total energy -8.05 eV per atom. Number 7: DFT total energy -2.36 eV per atom. Number 8: DFT total energy -4.15 eV per atom. Number 9: DFT total energy -3.17 eV per atom. Number 10: DFT total energy -4.27 eV per atom. Number 11: DFT total energy -4.12 eV per atom. Number 12: DFT total energy -2.62 eV per atom. Number 13: DFT total energy -3.37 eV per atom. Number 14: DFT total energy -6.89 eV per atom. Number 15: DFT total energy -7.46 eV per atom. Number 16: DFT total energy -3.88 eV per atom. Number 17: DFT total energy -2.78 eV per atom. Number 18: DFT total energy -3.57 eV per atom. Number 19: DFT total energy -2.08 eV per atom. Number 20: DFT total energy -4.95 eV per atom. Number 21: DFT total energy -3.03 eV per atom. Number 22: DFT total energy -6.77 eV per atom. Number 23: DFT total energy -5.10 eV per atom. Number 24: DFT total energy -4.08 eV per atom.